The following is a GGA-PBEsol calculation of a relaxed RbY3Ga crystal, from Alexandria.

a b c (Å): 5.3152 5.3152 5.3152
angles (deg): 90.00 90.00 90.00
Fractional coordinates of all 5 atoms:
Rb 0.0000 0.0000 0.0000
Y 0.0000 0.0000 0.5000
Y 0.0000 0.5000 0.0000
Y 0.5000 0.0000 0.0000
Ga 0.5000 0.5000 0.5000

- Magnetization: 0.0 μB/f.u.
- Calculated formation energy: 1.285 eV/atom
- SG: Pm-3m (221)